DFT (PBE) results for a relaxed structure of Tb3B2C3.

**DOS(E_F)**: 14.7 states/eV per cell
**Formation energy from the elements**: -0.06 eV/atom
**Crystal system**: orthorhombic
**Volume**: 426 Å³/cell
**VASP energy**: -221.548 eV per cell

Unit cell a=2.9723 b=10.1609 c=14.0919 alpha=90.00 beta=90.00 gamma=90.00
Space group Cmcm (No. 63)
Inequivalent atoms, fractional coordinates:
Tb  0.0000  0.1223  0.2500 [4 per cell]
Tb  0.0000  0.3769  0.1041 [8 per cell]
B  0.0000  0.3622  0.5894 [8 per cell]
C  0.0000  0.1182  0.0672 [8 per cell]
C  0.0000  0.1355  0.7500 [4 per cell]